Entry 1:
## YCr2Ni (PBE-GGA)

Data for crystalline YCr2Ni at its relaxed geometry.

Properties
As for the crystal system: tetragonal. For the formation energy, the calculation gives 0.41 eV/atom. The calculated density is 6.3 g/cm3. Its density of states at the Fermi level is 1.74 states/eV/atom.

Cell: 3.237 3.237 6.280 Å, 90.00 90.00 90.00°
Space group P4/mmm (No. 123)
Inequivalent atoms, fractional coordinates:
Y: 0.000 0.000 0.000 x1
Cr: 0.500 0.500 0.344 x2
Ni: 0.000 0.000 0.500 x1

---

Entry 2:
## Y2Cr2Ni15 (PBE-GGA)

Data for crystalline Y2Cr2Ni15 at its relaxed geometry.

Properties
As for the crystal system: trigonal. For the formation energy, the calculation gives -0.19 eV/atom. The calculated density is 8.0 g/cm3. Its density of states at the Fermi level is 1.34 states/eV/atom.

Cell: 8.2848 8.2848 12.1637 Å, 90.00 90.00 120.00°
Space group R-3m (No. 166, hexagonal axes)
Inequivalent atoms, fractional coordinates:
Y: 0.0000 0.0000 0.1591 x6
Cr: 0.0000 0.0000 0.4201 x6
Ni: 0.0000 0.3026 0.5000 x18
Ni: 0.0000 0.5000 0.0000 x9
Ni: 0.0030 0.5015 0.3425 x18

---

Entry 3:
## ZnCrNi3 (PBE-GGA)

Data for crystalline ZnCrNi3 at its relaxed geometry.

Properties
As for the crystal system: cubic. For the formation energy, the calculation gives 1.06 eV/atom. The calculated density is 6.4 g/cm3. Its density of states at the Fermi level is 1.17 states/eV/atom.

Cell: 4.249 4.249 4.249 Å, 90.00 90.00 90.00°
Space group Pm-3m (No. 221)
Inequivalent atoms, fractional coordinates:
Zn: 0.000 0.000 0.000 x1
Cr: 0.500 0.500 0.500 x1
Ni: 0.000 0.500 0.500 x3

---

Entry 4:
## Zn2CrNi (PBE-GGA)

Data for crystalline Zn2CrNi at its relaxed geometry.

Properties
As for the crystal system: trigonal. For the formation energy, the calculation gives 0.11 eV/atom. The calculated density is 7.9 g/cm3. Its density of states at the Fermi level is 1.02 states/eV/atom.

Cell: 2.6155 2.6155 25.5458 Å, 90.00 90.00 120.00°
Space group R-3m (No. 166, hexagonal axes)
Inequivalent atoms, fractional coordinates:
Zn: 0.0000 0.0000 0.2469 x6
Cr: 0.0000 0.0000 0.0000 x3
Ni: 0.0000 0.0000 0.5000 x3

---

Entry 5:
## ZnCr4Ni15 (PBE-GGA)

Data for crystalline ZnCr4Ni15 at its relaxed geometry.

Properties
As for the crystal system: tetragonal. For the formation energy, the calculation gives -0.04 eV/atom. The calculated density is 8.6 g/cm3. Its density of states at the Fermi level is 1.34 states/eV/atom.

Cell: 3.548 3.548 17.713 Å, 90.00 90.00 90.00°
Space group P4/mmm (No. 123)
Inequivalent atoms, fractional coordinates:
Zn: 0.000 0.000 0.000 x1
Cr: 0.000 0.000 0.199 x2
Cr: 0.000 0.000 0.401 x2
Ni: 0.000 0.500 0.103 x4
Ni: 0.000 0.500 0.300 x4
Ni: 0.000 0.500 0.500 x2
Ni: 0.500 0.500 0.000 x1
Ni: 0.500 0.500 0.201 x2
Ni: 0.500 0.500 0.400 x2

---

Entry 6:
## ZnCrNi (PBE-GGA)

Data for crystalline ZnCrNi at its relaxed geometry.

Properties
As for the crystal system: orthorhombic. For the formation energy, the calculation gives 0.11 eV/atom. The calculated density is 7.6 g/cm3. Its density of states at the Fermi level is 1.16 states/eV/atom.

Cell: 3.031 3.043 8.389 Å, 90.00 90.00 90.00°
Space group Imm2 (No. 44)
Inequivalent atoms, fractional coordinates:
Zn: 0.000 0.000 0.000 x2
Cr: 0.000 0.000 0.683 x2
Ni: 0.000 0.000 0.335 x2

---

Entry 7:
## ZnCrNi (PBE-GGA)

Data for crystalline ZnCrNi at its relaxed geometry.

Properties
As for the crystal system: cubic. For the formation energy, the calculation gives 0.39 eV/atom. The calculated density is 7.1 g/cm3. Its density of states at the Fermi level is 0.35 states/eV/atom.

Cell: 5.488 5.488 5.488 Å, 90.00 90.00 90.00°
Space group F-43m (No. 216)
Inequivalent atoms, fractional coordinates:
Zn: 0.000 0.000 0.000 x4
Cr: 0.000 0.000 0.500 x4
Ni: 0.250 0.250 0.250 x4

---

Entry 8:
## ZnCrNi (PBE-GGA)

Data for crystalline ZnCrNi at its relaxed geometry.

Properties
As for the crystal system: tetragonal. For the formation energy, the calculation gives 0.03 eV/atom. The calculated density is 8.1 g/cm3. Its density of states at the Fermi level is 0.85 states/eV/atom.

Cell: 2.554 2.554 11.035 Å, 90.00 90.00 90.00°
Space group I4mm (No. 107)
Inequivalent atoms, fractional coordinates:
Zn: 0.000 0.000 0.000 x2
Cr: 0.000 0.000 0.679 x2
Ni: 0.000 0.000 0.332 x2

---

Entry 9:
## Zn2CrNi (PBE-GGA)

Data for crystalline Zn2CrNi at its relaxed geometry.

Properties
As for the crystal system: trigonal. For the formation energy, the calculation gives 0.08 eV/atom. The calculated density is 7.8 g/cm3. Its density of states at the Fermi level is 0.76 states/eV/atom.

Cell: 2.5834 2.5834 26.5311 Å, 90.00 90.00 120.00°
Space group R3m (No. 160, hexagonal axes)
Inequivalent atoms, fractional coordinates:
Zn: 0.0000 0.0000 0.0000 x3
Zn: 0.0000 0.0000 0.2389 x3
Cr: 0.0000 0.0000 0.7513 x3
Ni: 0.0000 0.0000 0.4916 x3

---

Entry 10:
## Zn2CrNi (PBE-GGA)

Data for crystalline Zn2CrNi at its relaxed geometry.

Properties
As for the crystal system: tetragonal. For the formation energy, the calculation gives 0.04 eV/atom. The calculated density is 8.1 g/cm3. Its density of states at the Fermi level is 0.79 states/eV/atom.

Cell: 2.570 2.570 7.529 Å, 90.00 90.00 90.00°
Space group P4/mmm (No. 123)
Inequivalent atoms, fractional coordinates:
Zn: 0.000 0.000 0.237 x2
Cr: 0.500 0.500 0.500 x1
Ni: 0.500 0.500 0.000 x1

---

Entry 11:
## Zn2CrNi (PBE-GGA)

Data for crystalline Zn2CrNi at its relaxed geometry.

Properties
As for the crystal system: tetragonal. For the formation energy, the calculation gives 0.01 eV/atom. The calculated density is 7.5 g/cm3. Its density of states at the Fermi level is 0.57 states/eV/atom.

Cell: 3.813 3.813 7.337 Å, 90.00 90.00 90.00°
Space group I4/mmm (No. 139)
Inequivalent atoms, fractional coordinates:
Zn: 0.000 0.500 0.250 x4
Cr: 0.000 0.000 0.000 x2
Ni: 0.000 0.000 0.500 x2

---

Entry 12:
## Zn2CrNi (PBE-GGA)

Data for crystalline Zn2CrNi at its relaxed geometry.

Properties
As for the crystal system: tetragonal. For the formation energy, the calculation gives 0.04 eV/atom. The calculated density is 7.5 g/cm3. Its density of states at the Fermi level is 0.53 states/eV/atom.

Cell: 3.776 3.776 3.752 Å, 90.00 90.00 90.00°
Space group P4/mmm (No. 123)
Inequivalent atoms, fractional coordinates:
Zn: 0.000 0.500 0.000 x2
Cr: 0.000 0.000 0.500 x1
Ni: 0.500 0.500 0.500 x1

---

| no. | total magnetization (μB/cell) |
| --- | --- |
| 1 | 1.06 |
| 2 | 13.25 |
| 3 | 0.00 |
| 4 | 2.21 |
| 5 | 7.11 |
| 6 | 6.19 |
| 7 | 0.03 |
| 8 | 0.00 |
| 9 | 0.00 |
| 10 | 0.00 |
| 11 | 7.49 |
| 12 | 3.65 |